Entry 1:
Compound: PbAu2I6
Source: Alexandria
Functional: PBE
Structure: optimized geometry

Geometry as CIF:
```
data_PbAu2I6
_chemical_formula_sum 'Pb4 Au8 I24'
_cell_length_a 15.5894
_cell_length_b 14.5814
_cell_length_c 7.7990
_cell_angle_alpha 90.00
_cell_angle_beta 115.94
_cell_angle_gamma 90.00
_symmetry_space_group_name_H-M 'C 1 2/c 1'
_symmetry_Int_Tables_number 15
_symmetry_space_group_name_Hall '-C 2yc'
loop_
_atom_site_label
_atom_site_type_symbol
_atom_site_fract_x
_atom_site_fract_y
_atom_site_fract_z
_atom_site_occupancy
Pb1 Pb 0.0000 0.1067 0.2500 1
Au1 Au 0.2043 0.4156 0.2778 1
I1 I 0.1080 0.4600 0.4781 1
I2 I 0.1211 0.0940 0.7180 1
I3 I 0.1533 0.2276 0.2143 1
```

Calculated values
Crystal system: monoclinic
Density of states at the Fermi level: 0.519 states/eV per atom
Formation energy (no corrections): -123 kJ/mol of formula units

Entry 2:
Compound: ZrHg2Se
Source: Alexandria
Functional: PBE
Structure: optimized geometry

Geometry as CIF:
```
data_ZrHg2Se
_chemical_formula_sum 'Zr4 Hg8 Se4'
_cell_length_a 7.0383
_cell_length_b 7.0383
_cell_length_c 7.0383
_cell_angle_alpha 90.00
_cell_angle_beta 90.00
_cell_angle_gamma 90.00
_symmetry_space_group_name_H-M 'F -4 3 m'
_symmetry_Int_Tables_number 216
_symmetry_space_group_name_Hall 'F -4 2 3'
loop_
_atom_site_label
_atom_site_type_symbol
_atom_site_fract_x
_atom_site_fract_y
_atom_site_fract_z
_atom_site_occupancy
Zr1 Zr 0.0000 0.0000 0.0000 1
Hg1 Hg 0.0000 0.0000 0.5000 1
Hg2 Hg 0.2500 0.2500 0.2500 1
Se1 Se 0.2500 0.2500 0.7500 1
```

Calculated values
Crystal system: cubic
Density of states at the Fermi level: 0.862 states/eV per atom
Formation energy (no corrections): -35 kJ/mol of formula units

Entry 3:
Compound: FeIrRu2
Source: Alexandria
Functional: PBE
Structure: optimized geometry

Geometry as CIF:
```
data_FeIrRu2
_chemical_formula_sum 'Fe2 Ir2 Ru4'
_cell_length_a 2.8121
_cell_length_b 4.3857
_cell_length_c 8.9963
_cell_angle_alpha 90.00
_cell_angle_beta 90.00
_cell_angle_gamma 90.00
_symmetry_space_group_name_H-M 'I m m 2'
_symmetry_Int_Tables_number 44
_symmetry_space_group_name_Hall 'I 2 -2'
loop_
_atom_site_label
_atom_site_type_symbol
_atom_site_fract_x
_atom_site_fract_y
_atom_site_fract_z
_atom_site_occupancy
Fe1 Fe 0.0000 0.0000 0.0000 1
Ir1 Ir 0.0000 0.5000 0.7272 1
Ru1 Ru 0.0000 0.0000 0.5018 1
Ru2 Ru 0.0000 0.5000 0.2763 1
```

Calculated values
ΔH_f (0 K): 0.241 eV/atom
Crystal system: orthorhombic
Density of states at the Fermi level: 1.199 states/eV per atom

Entry 4:
Compound: TaBe2Ir
Source: Alexandria
Functional: PBE
Structure: optimized geometry

Geometry as CIF:
```
data_TaBe2Ir
_chemical_formula_sum 'Ta2 Be4 Ir2'
_cell_length_a 7.6733
_cell_length_b 2.9180
_cell_length_c 4.8606
_cell_angle_alpha 90.00
_cell_angle_beta 109.17
_cell_angle_gamma 90.00
_symmetry_space_group_name_H-M 'C 1 2/m 1'
_symmetry_Int_Tables_number 12
_symmetry_space_group_name_Hall '-C 2y'
loop_
_atom_site_label
_atom_site_type_symbol
_atom_site_fract_x
_atom_site_fract_y
_atom_site_fract_z
_atom_site_occupancy
Ta1 Ta 0.0000 0.0000 0.0000 1
Be1 Be 0.2398 0.0000 0.6633 1
Ir1 Ir 0.0000 0.5000 0.5000 1
```

Calculated values
ΔH_f (0 K): -0.190 eV/atom
Crystal system: monoclinic
Density of states at the Fermi level: 0.439 states/eV per atom

Entry 5:
Compound: Sr4PSe3
Source: Alexandria
Functional: PBE
Structure: optimized geometry

Geometry as CIF:
```
data_Sr4PSe3
_chemical_formula_sum 'Sr4 P1 Se3'
_cell_length_a 6.2830
_cell_length_b 6.2830
_cell_length_c 6.2830
_cell_angle_alpha 90.00
_cell_angle_beta 90.00
_cell_angle_gamma 90.00
_symmetry_space_group_name_H-M 'P m -3 m'
_symmetry_Int_Tables_number 221
_symmetry_space_group_name_Hall '-P 4 2 3'
loop_
_atom_site_label
_atom_site_type_symbol
_atom_site_fract_x
_atom_site_fract_y
_atom_site_fract_z
_atom_site_occupancy
Sr1 Sr 0.0000 0.0000 0.0000 1
Sr2 Sr 0.0000 0.5000 0.5000 1
P1 P 0.5000 0.5000 0.5000 1
Se1 Se 0.0000 0.0000 0.5000 1
```

Calculated values
Crystal system: cubic
Density of states at the Fermi level: 0.586 states/eV per atom
Formation energy (no corrections): -1309 kJ/mol of formula units

Entry 6:
Compound: Pr7Nd2Sm
Source: Alexandria
Functional: PBE
Structure: optimized geometry

Geometry as CIF:
```
data_Pr7Nd2Sm
_chemical_formula_sum 'Pr14 Nd4 Sm2'
_cell_length_a 8.9382
_cell_length_b 16.7815
_cell_length_c 5.6355
_cell_angle_alpha 90.00
_cell_angle_beta 90.00
_cell_angle_gamma 90.00
_symmetry_space_group_name_H-M 'C m m m'
_symmetry_Int_Tables_number 65
_symmetry_space_group_name_Hall '-C 2 2'
loop_
_atom_site_label
_atom_site_type_symbol
_atom_site_fract_x
_atom_site_fract_y
_atom_site_fract_z
_atom_site_occupancy
Pr1 Pr 0.0000 0.0000 0.0000 1
Pr2 Pr 0.0000 0.2761 0.5000 1
Pr3 Pr 0.1812 0.3874 0.0000 1
Nd1 Nd 0.0000 0.2036 0.0000 1
Sm1 Sm 0.0000 0.5000 0.5000 1
```

Calculated values
ΔH_f (0 K): 0.605 eV/atom
Crystal system: orthorhombic
Density of states at the Fermi level: 1.582 states/eV per atom